DFT (PBE+U) results for crystalline Ba2MgMoO6 at its relaxed geometry.

The structure in extended XYZ format:
```
10
Lattice="-4.6394 0.3193 -3.4755 -1.1817 -4.3403 -3.6702 -4.5804 -3.4386 0.9495" Properties=species:S:1:pos:R:3 pbc="T T T"
O -5.4939 -5.8442 -2.9011
O -3.1021 -4.0487 -3.3969
Ba -7.8012 -5.5947 -4.6472
O -4.8769 -3.5778 -0.9845
O -7.2995 -3.4110 -2.7994
Ba -2.6004 -1.8649 -1.5491
O -5.5247 -3.8818 -5.2117
O -4.9077 -1.6154 -3.2952
Mg -5.2008 -3.7298 -3.0981
Mo -4.5804 -3.4386 0.9495
```

Summary:
- DFT total energy (eV per cell) = -67.000